The following is a DFT calculation (PBE-GGA) of CaAsPS2 after structural relaxation.

The structure in CIF format:
```
data_CaAsPS2
_cell_length_a 5.0854
_cell_length_b 5.0854
_cell_length_c 5.2868
_cell_angle_alpha 90.00
_cell_angle_beta 90.00
_cell_angle_gamma 90.00
_space_group_name_H-M_alt 'P 1'
_space_group_IT_number 1
loop_
_space_group_symop_operation_xyz
'x,y,z'
loop_
_atom_site_label
_atom_site_fract_x
_atom_site_fract_y
_atom_site_fract_z
_atom_site_occupancy
Ca1 0.0000 0.0000 0.0000 1
As1 0.5000 0.5000 0.5000 1
P1 0.0000 0.0000 0.5000 1
S1 0.0000 0.5000 0.0000 1
S2 0.5000 0.0000 0.0000 1
```

## Properties
- E_tot (eV per atom) = -3.25
- crystal system = tetragonal